[1]
First-principles (GGA-PBE) data for Sr2AcTh after structural relaxation, as listed in Alexandria.

Geometry as POSCAR:
```
Sr2AcTh
1.0
3.765 0.000 0.000
1.882 3.260 0.000
1.882 1.087 14.205
Sr Ac Th
2 1 1
Direct
0.086 0.086 0.742
0.914 0.914 0.258
0.500 0.500 0.500
0.000 0.000 0.000
```

Values from the calculation:
* crystal system: trigonal



[2]
First-principles (GGA-PBE) data for SrAcTh after structural relaxation, as listed in Alexandria.

Geometry as POSCAR:
```
SrAcTh
1.0
-2.878 2.118 -1.291
-0.542 -2.466 -2.838
-3.883 -4.369 7.080
Sr Ac Th
1 1 1
Direct
0.008 0.008 0.015
0.317 0.317 0.634
0.675 0.675 0.351
```

Values from the calculation:
* excess energy over the best structure of this formula in the dataset: 0.29 eV per formula unit
* crystal system: tetragonal



[3]
First-principles (GGA-PBE) data for Sr3Ac2Tl4 after structural relaxation, as listed in Alexandria.

Geometry as POSCAR:
```
Sr3Ac2Tl4
1.0
7.516 0.000 0.000
0.000 8.754 0.000
-3.758 0.000 10.294
Sr Ac Tl
6 4 8
Direct
0.000 0.000 0.000
0.500 0.500 0.000
0.513 0.750 0.527
0.987 0.250 0.473
0.487 0.250 0.473
0.013 0.750 0.527
0.092 0.588 0.183
0.908 0.412 0.817
0.408 0.088 0.817
0.592 0.912 0.183
0.679 0.750 0.859
0.821 0.250 0.141
0.321 0.250 0.141
0.179 0.750 0.859
0.160 0.966 0.320
0.840 0.034 0.680
0.340 0.466 0.680
0.660 0.534 0.320
```

Values from the calculation:
* excess energy over the best structure of this formula in the dataset: 0.61 eV per formula unit
* crystal system: orthorhombic



[4]
First-principles (GGA-PBE) data for SrAc2Tl5 after structural relaxation, as listed in Alexandria.

Geometry as POSCAR:
```
SrAc2Tl5
1.0
5.729 0.000 0.000
0.000 5.729 0.000
-2.865 -2.865 8.117
Sr Ac Tl
1 2 5
Direct
0.000 0.000 0.000
0.738 0.738 0.476
0.262 0.262 0.524
0.500 0.500 0.000
0.882 0.382 0.763
0.382 0.882 0.763
0.118 0.618 0.237
0.618 0.118 0.237
```

Values from the calculation:
* crystal system: tetragonal



no.,M_tot (μB per formula unit),VASP energy (eV per atom),ΔE_f (kJ/mol of formula units)
1,0.0,-3.330,151.7
2,0.0,-4.208,56.6
3,0.0,-2.779,-220.0
4,0.0,-3.002,-220.7